1.
Crystalline Ho6Te3P2Pb at its relaxed geometry, computed with PBE.

Properties
* energy relative to the elements, uncorrected: -15.7 eV per formula unit
* magnetization: 0.00 μB/cell
* theoretical density: 8.397 Mg/m³
* electronic total energy: -5.590 eV/atom

Cell and atoms, written as POSCAR:
```
Ho6Te3P2Pb
1.0
9.302 -2.088 0.000
9.302 2.088 0.000
-2.135 0.000 8.356
Ho Te P Pb
6 3 2 1
direct
0.014 0.014 0.255
0.323 0.323 0.435
0.331 0.331 0.881
0.669 0.669 0.119
0.677 0.677 0.565
0.986 0.986 0.745
0.163 0.163 0.833
0.500 0.500 0.500
0.837 0.837 0.167
0.169 0.169 0.340
0.831 0.831 0.660
0.500 0.500 0.000
```

***

2.
Crystalline CsPr3Te4O12 at its relaxed geometry, computed with PBE.

Properties
* energy relative to the elements, uncorrected: -33.4 eV per formula unit
* magnetization: 0.85 μB/cell
* theoretical density: 4.980 Mg/m³
* electronic total energy: -6.035 eV/atom

Cell and atoms, written as POSCAR:
```
CsPr3Te4O12
1.0
6.512 3.760 2.856
-6.512 3.760 2.856
0.000 -7.519 2.856
Cs Pr Te O
1 3 4 12
direct
0.000 0.000 0.000
0.000 0.558 0.442
0.442 0.000 0.558
0.558 0.442 0.000
0.055 0.500 0.945
0.500 0.500 0.500
0.500 0.945 0.055
0.945 0.055 0.500
0.075 0.632 0.781
0.111 0.889 0.500
0.219 0.368 0.925
0.342 0.658 0.500
0.368 0.925 0.219
0.500 0.111 0.889
0.500 0.342 0.658
0.632 0.781 0.075
0.658 0.500 0.342
0.781 0.075 0.632
0.889 0.500 0.111
0.925 0.219 0.368
```

***

3.
Crystalline Tb5Sm2 at its relaxed geometry, computed with PBE.

Properties
* energy of formation from the pure elements: 0.14 eV/atom
* magnetization: 0.01 μB/cell
* theoretical density: 7.931 Mg/m³
* electronic total energy: -4.512 eV/atom

Cell and atoms, written as POSCAR:
```
Tb5Sm2
1.0
2.837 1.638 8.226
-2.837 1.638 8.226
0.000 -3.276 8.226
Tb Sm
5 2
direct
0.000 0.000 0.000
0.275 0.275 0.275
0.417 0.417 0.417
0.583 0.583 0.583
0.725 0.725 0.725
0.136 0.136 0.136
0.864 0.864 0.864
```

***

4.
Crystalline Dy2PtSe at its relaxed geometry, computed with PBE.

Properties
* energy relative to the elements, uncorrected: -6.1 eV per formula unit
* magnetization: 0.00 μB/cell
* theoretical density: 10.610 Mg/m³
* electronic total energy: -6.200 eV/atom

Cell and atoms, written as POSCAR:
```
Dy2PtSe
1.0
1.927 -11.279 0.000
1.927 11.279 0.000
0.000 0.000 4.314
Dy Pt Se
4 2 2
direct
0.062 0.938 0.750
0.324 0.676 0.750
0.676 0.324 0.250
0.938 0.062 0.250
0.453 0.547 0.750
0.547 0.453 0.250
0.193 0.807 0.750
0.807 0.193 0.250
```

***

5.
Crystalline DyGa2Si at its relaxed geometry, computed with PBE.

Properties
* energy relative to the elements, uncorrected: -1.0 eV per formula unit
* magnetization: 0.00 μB/cell
* theoretical density: 6.865 Mg/m³
* electronic total energy: -4.267 eV/atom

Cell and atoms, written as POSCAR:
```
DyGa2Si
1.0
2.155 1.244 4.964
-2.155 1.244 4.964
0.000 -2.488 4.964
Dy Ga Si
1 2 1
direct
0.000 0.000 0.000
0.218 0.218 0.218
0.782 0.782 0.782
0.500 0.500 0.500
```

***

6.
Crystalline PmPrSn at its relaxed geometry, computed with PBE.

Properties
* energy of formation from the pure elements: -0.59 eV/atom
* magnetization: 1.26 μB/cell
* theoretical density: 7.390 Mg/m³
* electronic total energy: -5.099 eV/atom

Cell and atoms, written as POSCAR:
```
PmPrSn
1.0
5.574 0.000 0.000
-2.787 4.827 0.000
0.000 0.000 6.758
Pm Pr Sn
2 2 2
direct
0.333 0.667 0.250
0.667 0.333 0.750
0.000 0.000 0.000
0.000 0.000 0.500
0.333 0.667 0.750
0.667 0.333 0.250
```

***

7.
Crystalline KBaBO3 at its relaxed geometry, computed with PBE.

Properties
* energy relative to the elements, uncorrected: -14.6 eV per formula unit
* magnetization: 0.00 μB/cell
* theoretical density: 3.587 Mg/m³
* electronic total energy: -6.530 eV/atom

Cell and atoms, written as POSCAR:
```
KBaBO3
1.0
5.811 0.000 0.000
-2.905 5.032 0.000
0.000 0.000 7.449
K Ba B O
2 2 2 6
direct
0.333 0.667 0.250
0.667 0.333 0.750
0.000 0.000 0.000
0.000 0.000 0.500
0.333 0.667 0.750
0.667 0.333 0.250
0.194 0.389 0.750
0.194 0.806 0.750
0.389 0.194 0.250
0.611 0.806 0.750
0.806 0.194 0.250
0.806 0.611 0.250
```

***

8.
Crystalline La2PCl2 at its relaxed geometry, computed with PBE.

Properties
* energy relative to the elements, uncorrected: -7.7 eV per formula unit
* magnetization: 0.00 μB/cell
* theoretical density: 4.894 Mg/m³
* electronic total energy: -5.326 eV/atom

Cell and atoms, written as POSCAR:
```
La2PCl2
1.0
-2.097 2.097 7.321
2.097 -2.097 7.321
2.097 2.097 -7.321
La P Cl
2 1 2
direct
0.112 0.112 0.000
0.888 0.888 0.000
0.500 0.500 0.000
0.250 0.750 0.500
0.750 0.250 0.500
```

***

9.
Crystalline CaNp2Tl3S6 at its relaxed geometry, computed with PBE.

Properties
* energy relative to the elements, uncorrected: -13.8 eV per formula unit
* magnetization: 7.00 μB/cell
* theoretical density: 6.808 Mg/m³
* electronic total energy: -6.126 eV/atom

Cell and atoms, written as POSCAR:
```
CaNp2Tl3S6
1.0
3.527 -6.103 0.000
3.527 6.103 0.000
-2.338 0.000 7.478
Ca Np Tl S
1 2 3 6
direct
0.000 0.000 0.000
0.333 0.667 0.000
0.667 0.333 0.000
0.164 0.836 0.500
0.500 0.500 0.500
0.836 0.164 0.500
0.066 0.415 0.198
0.284 0.284 0.806
0.415 0.066 0.198
0.585 0.934 0.802
0.716 0.716 0.194
0.934 0.585 0.802
```

***

10.
Crystalline VNiIr at its relaxed geometry, computed with PBE.

Properties
* energy of formation from the pure elements: -0.28 eV/atom
* magnetization: 0.00 μB/cell
* theoretical density: 12.933 Mg/m³
* electronic total energy: -8.205 eV/atom

Cell and atoms, written as POSCAR:
```
VNiIr
1.0
4.120 0.000 0.000
-2.060 3.568 0.000
0.000 0.000 2.636
V Ni Ir
1 1 1
direct
0.000 0.000 0.000
0.333 0.667 0.000
0.667 0.333 0.500
```

***

11.
Crystalline Na6Hg3Pd at its relaxed geometry, computed with PBE.

Properties
* energy of formation from the pure elements: -0.12 eV/atom
* magnetization: 0.00 μB/cell
* theoretical density: 5.298 Mg/m³
* electronic total energy: -1.521 eV/atom

Cell and atoms, written as POSCAR:
```
Na6Hg3Pd
1.0
11.982 0.000 0.000
0.000 3.263 0.000
-3.961 0.000 13.565
Na Hg Pd
12 6 2
direct
0.024 0.250 0.180
0.135 0.750 0.413
0.238 0.250 0.814
0.338 0.250 0.234
0.368 0.250 0.639
0.387 0.750 0.025
0.613 0.250 0.975
0.632 0.750 0.361
0.662 0.750 0.766
0.762 0.750 0.186
0.865 0.250 0.587
0.976 0.750 0.820
0.102 0.750 0.621
0.138 0.250 0.008
0.392 0.750 0.438
0.608 0.250 0.562
0.862 0.750 0.992
0.898 0.250 0.379
0.445 0.750 0.826
0.555 0.250 0.174
```

***

12.
Crystalline Tm6In3Co at its relaxed geometry, computed with PBE.

Properties
* energy of formation from the pure elements: -0.27 eV/atom
* magnetization: 0.00 μB/cell
* theoretical density: 9.177 Mg/m³
* electronic total energy: -4.489 eV/atom

Cell and atoms, written as POSCAR:
```
Tm6In3Co
1.0
9.050 0.000 0.000
0.000 11.227 0.000
0.000 0.000 5.047
Tm In Co
12 6 2
direct
0.024 0.226 0.000
0.156 0.072 0.500
0.196 0.405 0.500
0.304 0.905 0.000
0.344 0.572 0.000
0.476 0.726 0.500
0.524 0.274 0.500
0.656 0.428 0.000
0.696 0.095 0.000
0.804 0.595 0.500
0.844 0.928 0.500
0.976 0.774 0.000
0.000 0.500 0.000
0.144 0.714 0.500
0.356 0.214 0.000
0.500 0.000 0.500
0.644 0.786 0.000
0.856 0.286 0.500
0.000 0.000 0.000
0.500 0.500 0.500
```

***

13.
Crystalline LaNi2 at its relaxed geometry, computed with PBE.

Properties
* energy of formation from the pure elements: -0.30 eV/atom
* magnetization: 0.00 μB/cell
* theoretical density: 7.545 Mg/m³
* electronic total energy: -5.796 eV/atom

Cell and atoms, written as POSCAR:
```
LaNi2
1.0
5.203 -2.039 0.000
5.203 2.039 0.000
-1.605 0.000 5.317
La Ni
2 4
direct
0.105 0.105 0.301
0.895 0.895 0.699
0.218 0.218 0.887
0.397 0.397 0.298
0.603 0.603 0.702
0.782 0.782 0.113
```

***

14.
Crystalline PuMgPb at its relaxed geometry, computed with PBE.

Properties
* energy of formation from the pure elements: -0.01 eV/atom
* magnetization: 6.02 μB/cell
* theoretical density: 9.854 Mg/m³
* electronic total energy: -6.555 eV/atom

Cell and atoms, written as POSCAR:
```
PuMgPb
1.0
-1.715 1.715 6.809
1.715 -1.715 6.809
1.715 1.715 -6.809
Pu Mg Pb
1 1 1
direct
0.000 0.000 0.000
0.674 0.674 0.000
0.325 0.325 0.000
```

***

15.
Crystalline CdCo2Tc at its relaxed geometry, computed with PBE.

Properties
* energy of formation from the pure elements: 0.18 eV/atom
* magnetization: 0.42 μB/cell
* theoretical density: 9.944 Mg/m³
* electronic total energy: -6.195 eV/atom

Cell and atoms, written as POSCAR:
```
CdCo2Tc
1.0
2.728 0.000 0.000
0.000 2.728 0.000
0.000 0.000 7.366
Cd Co Tc
1 2 1
direct
0.000 0.000 0.000
0.500 0.500 0.276
0.500 0.500 0.724
0.000 0.000 0.500
```

***

16.
Crystalline PrTaIr at its relaxed geometry, computed with PBE.

Properties
* energy of formation from the pure elements: -0.49 eV/atom
* magnetization: 0.00 μB/cell
* theoretical density: 12.021 Mg/m³
* electronic total energy: -8.991 eV/atom

Cell and atoms, written as POSCAR:
```
PrTaIr
1.0
4.559 0.000 0.000
0.000 4.559 0.000
0.000 0.000 6.833
Pr Ta Ir
2 2 2
direct
0.250 0.250 0.130
0.750 0.750 0.870
0.250 0.750 0.500
0.750 0.250 0.500
0.250 0.250 0.683
0.750 0.750 0.317
```

***

17.
Crystalline NaCrPd3 at its relaxed geometry, computed with PBE.

Properties
* energy of formation from the pure elements: 1.46 eV/atom
* magnetization: 0.65 μB/cell
* theoretical density: 7.029 Mg/m³
* electronic total energy: -3.848 eV/atom

Cell and atoms, written as POSCAR:
```
NaCrPd3
1.0
4.533 0.000 0.000
0.000 4.533 0.000
0.000 0.000 4.533
Na Cr Pd
1 1 3
direct
0.000 0.000 0.000
0.500 0.500 0.500
0.000 0.000 0.500
0.000 0.500 0.000
0.500 0.000 0.000
```

***

18.
Crystalline Hg2As2Ir at its relaxed geometry, computed with PBE.

Properties
* energy of formation from the pure elements: 0.03 eV/atom
* magnetization: 0.00 μB/cell
* theoretical density: 10.864 Mg/m³
* electronic total energy: -3.723 eV/atom

Cell and atoms, written as POSCAR:
```
Hg2As2Ir
1.0
6.271 0.000 0.000
0.000 6.271 0.000
0.000 0.000 5.778
Hg As Ir
4 4 2
direct
0.174 0.326 0.000
0.326 0.826 0.000
0.674 0.174 0.000
0.826 0.674 0.000
0.143 0.357 0.500
0.357 0.857 0.500
0.643 0.143 0.500
0.857 0.643 0.500
0.000 0.000 0.500
0.500 0.500 0.500
```

***

19.
Crystalline CoGe2OsW at its relaxed geometry, computed with PBE.

Properties
* energy of formation from the pure elements: 1.80 eV/atom
* magnetization: 2.38 μB/cell
* theoretical density: 9.532 Mg/m³
* electronic total energy: -6.302 eV/atom

Cell and atoms, written as POSCAR:
```
CoGe2OsW
1.0
4.782 0.000 0.000
0.000 4.782 0.000
0.000 0.000 4.405
Co Ge Os W
1 2 1 1
direct
0.000 0.000 0.000
0.000 0.500 0.500
0.500 0.000 0.500
0.500 0.500 0.000
0.000 0.000 0.500
```

***

20.
Crystalline La4TbEr15 at its relaxed geometry, computed with PBE.

Properties
* energy of formation from the pure elements: 0.03 eV/atom
* magnetization: 0.00 μB/cell
* theoretical density: 8.379 Mg/m³
* electronic total energy: -4.605 eV/atom

Cell and atoms, written as POSCAR:
```
La4TbEr15
1.0
5.050 0.000 0.000
0.000 5.050 0.000
0.000 0.000 25.051
La Tb Er
4 1 15
direct
0.000 0.000 0.100
0.000 0.000 0.300
0.000 0.000 0.700
0.000 0.000 0.900
0.000 0.000 0.500
0.000 0.500 0.000
0.000 0.500 0.201
0.000 0.500 0.402
0.000 0.500 0.598
0.000 0.500 0.799
0.500 0.000 0.000
0.500 0.000 0.201
0.500 0.000 0.402
0.500 0.000 0.598
0.500 0.000 0.799
0.500 0.500 0.100
0.500 0.500 0.302
0.500 0.500 0.500
0.500 0.500 0.698
0.500 0.500 0.900
```